#w
Below is crystalline ZnGe2B at its relaxed geometry, with properties calculated at the PBE level.

Cell lengths 5.5585, 5.5585, 6.1258 Å; angles 63.02, 63.02, 90.00 degrees
With the nearest neighbours (Å) after each atom.
Sites, in units of the cell vectors:
Ge (0.5537, 0.1250, 0.2500)  2 B 2.07
Ge (0.1963, 0.6250, 0.2500)  2 B 2.07
Ge (0.3750, 0.4463, 0.7500)  2 B 2.07
Ge (0.8750, 0.8037, 0.7500)  2 B 2.07
B (0.5000, 0.5000, 0.0000)  4 Ge 2.07
B (0.2500, 0.7500, 0.5000)  4 Ge 2.07
Zn (0.0000, 0.0000, 0.0000)  4 Ge 2.55
Zn (0.7500, 0.2500, 0.5000)  4 Ge 2.55

* DOS at the Fermi energy: 4.79 states/eV per cell
* symmetry: I-42d
* crystal system: tetragonal

#x
Below is crystalline ZnGe2B at its relaxed geometry, with properties calculated at the PBE level.

Cell lengths 4.4262, 4.4262, 4.4262 Å; angles 60.00, 60.00, 60.00 degrees
With the nearest neighbours (Å) after each atom.
Sites, in units of the cell vectors:
Ge (0.2500, 0.2500, 0.2500)  4 B 2.71, 4 Zn 2.71
Ge (0.7500, 0.7500, 0.7500)  4 B 2.71, 4 Zn 2.71
B (0.0000, 0.0000, 0.0000)  8 Ge 2.71
Zn (0.5000, 0.5000, 0.5000)  8 Ge 2.71

* DOS at the Fermi energy: 1.72 states/eV per cell
* symmetry: Fm-3m
* crystal system: cubic

Pick #w: it beats the second-best structure by 0.512 eV/atom.

#w
Below is crystalline Zn2GeB at its relaxed geometry, with properties calculated at the PBE level.

Cell lengths 4.0699, 4.0699, 7.8957 Å; angles 75.06, 75.06, 90.00 degrees
With the nearest neighbours (Å) after each atom.
Sites, in units of the cell vectors:
Ge (0.0000, 0.0000, 0.0000)  4 Zn 2.47
Ge (0.7500, 0.2500, 0.5000)  4 Zn 2.47
B (0.5000, 0.5000, 0.0000)  4 Zn 2.22
B (0.2500, 0.7500, 0.5000)  4 Zn 2.22
Zn (0.5538, 0.1250, 0.2500)  2 B 2.22, 2 Ge 2.47
Zn (0.1962, 0.6250, 0.2500)  2 B 2.22, 2 Ge 2.47
Zn (0.3750, 0.4462, 0.7500)  2 B 2.22, 2 Ge 2.47
Zn (0.8750, 0.8038, 0.7500)  2 B 2.22, 2 Ge 2.47

* DOS at the Fermi energy: 3.01 states/eV per cell
* symmetry: I-42d
* crystal system: tetragonal

#x
Below is crystalline Zn2GeB at its relaxed geometry, with properties calculated at the PBE level.

Cell lengths 4.3668, 4.3668, 4.3668 Å; angles 60.00, 60.00, 60.00 degrees
With the nearest neighbours (Å) after each atom.
Sites, in units of the cell vectors:
Ge (0.5000, 0.5000, 0.5000)  8 Zn 2.67
B (0.0000, 0.0000, 0.0000)  8 Zn 2.67
Zn (0.2500, 0.2500, 0.2500)  4 Ge 2.67, 4 B 2.67
Zn (0.7500, 0.7500, 0.7500)  4 Ge 2.67, 4 B 2.67

* DOS at the Fermi energy: 1.92 states/eV per cell
* symmetry: Fm-3m
* crystal system: cubic

Pick #w: it beats the second-best structure by 0.282 eV/atom.

#w
Below is crystalline Zn3GeB at its relaxed geometry, with properties calculated at the PBE level.

Cell lengths 4.2590, 4.2590, 4.2590 Å; angles 90.00, 90.00, 90.00 degrees
With the nearest neighbours (Å) after each atom.
Sites, in units of the cell vectors:
Ge (0.5000, 0.5000, 0.5000)  12 Zn 3.01
B (0.0000, 0.0000, 0.0000)  6 Zn 2.13
Zn (0.0000, 0.5000, 0.0000)  2 B 2.13
Zn (0.0000, 0.0000, 0.5000)  2 B 2.13
Zn (0.5000, 0.0000, 0.0000)  2 B 2.13

* DOS at the Fermi energy: 2.37 states/eV per cell
* symmetry: Pm-3m
* crystal system: cubic

#x
Below is crystalline Zn3GeB at its relaxed geometry, with properties calculated at the PBE level.

Cell lengths 4.7841, 4.7841, 4.7841 Å; angles 90.00, 90.00, 90.00 degrees
With the nearest neighbours (Å) after each atom.
Sites, in units of the cell vectors:
Ge (0.0000, 0.0000, 0.0000)  6 Zn 2.39
B (0.5000, 0.5000, 0.5000)  12 Zn 3.38
Zn (0.0000, 0.5000, 0.0000)  2 Ge 2.39
Zn (0.0000, 0.0000, 0.5000)  2 Ge 2.39
Zn (0.5000, 0.0000, 0.0000)  2 Ge 2.39

* DOS at the Fermi energy: 2.80 states/eV per cell
* symmetry: Pm-3m
* crystal system: cubic

Pick #w: it beats the second-best structure by 0.822 eV/atom.

#w
Below is crystalline ZnGeB2 at its relaxed geometry, with properties calculated at the PBE level.

Cell lengths 4.0683, 4.0683, 4.0683 Å; angles 60.00, 60.00, 60.00 degrees
With the nearest neighbours (Å) after each atom.
Sites, in units of the cell vectors:
Ge (0.5000, 0.5000, 0.5000)  8 B 2.49
B (0.2500, 0.2500, 0.2500)  4 Ge 2.49, 4 Zn 2.49
B (0.7500, 0.7500, 0.7500)  4 Ge 2.49, 4 Zn 2.49
Zn (0.0000, 0.0000, 0.0000)  8 B 2.49

* DOS at the Fermi energy: 1.78 states/eV per cell
* symmetry: Fm-3m
* crystal system: cubic

#x
Below is crystalline ZnGeB2 at its relaxed geometry, with properties calculated at the PBE level.

Cell lengths 5.1549, 5.1549, 5.7010 Å; angles 63.12, 63.12, 90.00 degrees
With the nearest neighbours (Å) after each atom.
Sites, in units of the cell vectors:
Ge (0.0000, 0.0000, 0.0000)  4 B 2.06
Ge (0.7500, 0.2500, 0.5000)  4 B 2.06
B (0.6455, 0.1250, 0.2500)  2 Ge 2.06, 2 Zn 2.19
B (0.1045, 0.6250, 0.2500)  2 Ge 2.06, 2 Zn 2.19
B (0.3750, 0.3545, 0.7500)  2 Ge 2.06, 2 Zn 2.19
B (0.8750, 0.8955, 0.7500)  2 Ge 2.06, 2 Zn 2.19
Zn (0.5000, 0.5000, 0.0000)  4 B 2.19
Zn (0.2500, 0.7500, 0.5000)  4 B 2.19

* DOS at the Fermi energy: 2.11 states/eV per cell
* symmetry: I-42d
* crystal system: tetragonal

Pick #x: it beats the second-best structure by 0.398 eV/atom.